Record 1
Here is a geometry-optimized CsSc2BrO structure from Alexandria via LeMat-Bulk. Energies are from PBE-GGA.

POSCAR file:
```
CsSc2BrO
1.0
5.5203 0.0000 0.0000
0.0000 5.5203 0.0000
0.0000 0.0000 4.6889
Cs Sc Br O
1 2 1 1
Cartesian
0.0000 0.0000 0.0000
0.0000 2.7602 0.0000
2.7602 0.0000 0.0000
2.7602 2.7602 2.3444
0.0000 0.0000 2.3444
```

Space group: No. 123
Energy relative to the elements, uncorrected: 78 kJ/mol of atoms


Record 2
Here is a geometry-optimized LiLaLuZn structure from Alexandria via LeMat-Bulk. Energies are from PBE-GGA.

POSCAR file:
```
LiLaLuZn
1.0
0.0000 3.6788 3.6788
3.6788 0.0000 3.6788
3.6788 3.6788 0.0000
Li La Lu Zn
1 1 1 1
Cartesian
0.0000 0.0000 0.0000
1.8394 1.8394 1.8394
5.5183 5.5183 5.5183
3.6788 3.6788 3.6788
```

Space group: No. 216
Energy relative to the elements: -0.10 eV per atom


Record 3
Here is a geometry-optimized BaBeAs structure from Alexandria via LeMat-Bulk. Energies are from PBE-GGA.

POSCAR file:
```
BaBeAs
1.0
-1.7618 1.7618 5.7322
1.7618 -1.7618 5.7322
1.7618 1.7618 -5.7322
Ba Be As
1 1 1
Cartesian
0.0000 0.0000 0.0000
0.0000 0.0000 8.2780
0.0000 0.0000 3.2019
```

Offset from the most stable computed form: 605 meV/atom
Space group: No. 107
Energy relative to the elements: 0.01 eV per atom


Record 4
Here is a geometry-optimized Fe3CoBr9 structure from Alexandria via LeMat-Bulk. Energies are from PBE-GGA.

POSCAR file:
```
Fe3CoBr9
1.0
9.7451 -4.5760 0.0000
9.7451 4.5760 0.0000
-9.4288 0.0000 9.9553
Fe Co Br
6 2 18
Cartesian
5.0307 4.4655 4.9776
-3.9486 0.9773 8.9920
0.7658 -0.9773 4.0144
7.6156 0.9594 5.0173
12.3301 -0.9594 0.0396
9.7451 -4.4655 0.0000
0.3142 1.2259 7.5506
5.0286 -1.2259 2.5730
3.2293 3.2065 4.3432
1.3136 3.3545 8.1675
-0.1021 0.9973 5.1625
9.1487 3.3642 1.9858
-1.5358 0.6664 8.9947
6.7316 3.0129 6.0100
4.6123 -0.9973 0.1849
6.7105 0.5250 2.8147
3.1787 -0.6664 4.0170
1.9961 -0.5250 7.7923
11.9111 0.8408 1.4006
10.0397 1.4241 5.0461
-1.4851 -3.2065 9.3208
7.1967 -0.8408 6.3782
6.0280 -3.3545 3.1899
14.7541 -1.4241 0.0685
4.4342 -3.3642 6.9634
11.4460 -3.0129 1.0324
```

Space group: No. 9
Energy relative to the elements, uncorrected: -35 kJ/mol of atoms


Record 5
Here is a geometry-optimized YV2Co2 structure from Alexandria via LeMat-Bulk. Energies are from PBE-GGA.

POSCAR file:
```
YV2Co2
1.0
-2.0242 2.0242 4.8051
2.0242 -2.0242 4.8051
2.0242 2.0242 -4.8051
Y V Co
1 2 2
Cartesian
0.0000 0.0000 0.0000
2.0242 0.0000 2.4026
0.0000 2.0242 2.4026
0.0000 0.0000 3.5787
0.0000 0.0000 6.0316
```

Offset from the most stable computed form: 0 meV/atom
Space group: No. 139
Energy relative to the elements: -0.16 eV per atom


Record 6
Here is a geometry-optimized LiPr2Be structure from Alexandria via LeMat-Bulk. Energies are from PBE-GGA.

POSCAR file:
```
LiPr2Be
1.0
3.6512 0.0000 0.0000
0.0000 3.6512 0.0000
0.0000 0.0000 7.6561
Li Pr Be
1 2 1
Cartesian
0.0000 0.0000 0.0000
1.8256 1.8256 2.1991
1.8256 1.8256 5.4570
0.0000 0.0000 3.8280
```

Offset from the most stable computed form: 0 meV/atom
Space group: No. 123
Energy relative to the elements: 0.13 eV per atom


Record 7
Here is a geometry-optimized MgSiPd2C structure from Alexandria via LeMat-Bulk. Energies are from PBE-GGA.

POSCAR file:
```
MgSiPd2C
1.0
4.6052 0.0000 0.0000
0.0000 4.6052 0.0000
0.0000 0.0000 4.7123
Mg Si Pd C
1 1 2 1
Cartesian
0.0000 0.0000 0.0000
0.0000 0.0000 2.3562
0.0000 2.3026 0.0000
2.3026 0.0000 0.0000
2.3026 2.3026 2.3562
```

Space group: No. 123
Energy relative to the elements, uncorrected: 195 kJ/mol of atoms


Record 8
Here is a geometry-optimized MgFeSe4 structure from Alexandria via LeMat-Bulk. Energies are from PBE-GGA.

POSCAR file:
```
MgFeSe4
1.0
0.0000 4.0200 4.0200
4.0200 0.0000 4.0200
4.0200 4.0200 0.0000
Mg Fe Se
1 1 4
Cartesian
0.0000 0.0000 0.0000
2.0100 2.0100 2.0100
5.0219 3.0180 3.0180
3.0180 5.0219 3.0180
3.0180 3.0180 5.0219
5.0219 5.0219 5.0219
```

Space group: No. 216
Energy relative to the elements, uncorrected: 63 kJ/mol of atoms


Record 9
Here is a geometry-optimized CsRbTeO4 structure from Alexandria via LeMat-Bulk. Energies are from PBE-GGA.

POSCAR file:
```
CsRbTeO4
1.0
3.5940 -5.7311 0.0000
3.5940 5.7311 0.0000
0.0000 0.0000 8.6747
Cs Rb Te O
2 2 2 8
Cartesian
0.0000 0.0000 0.0000
0.0000 0.0000 4.3373
3.5940 2.0950 6.5060
3.5940 -2.0950 2.1687
3.5940 1.6682 2.1687
3.5940 -1.6682 6.5060
2.0980 0.5728 2.1687
3.5940 2.7379 0.6632
3.5940 2.7379 3.6742
2.0980 -0.5728 6.5060
5.0900 0.5728 2.1687
3.5940 -2.7379 5.0005
3.5940 -2.7379 8.0115
5.0900 -0.5728 6.5060
```

Space group: No. 63
Energy relative to the elements, uncorrected: -134 kJ/mol of atoms


Record 10
Here is a geometry-optimized Be2VSe structure from Alexandria via LeMat-Bulk. Energies are from PBE-GGA.

POSCAR file:
```
Be2VSe
1.0
-3.3117 3.3117 2.3826
3.3117 -3.3117 2.3826
3.3117 3.3117 -2.3826
Be V Se
4 2 2
Cartesian
1.6558 1.4518 -0.5957
1.8598 -1.6558 2.9783
1.6558 1.8598 1.7870
1.4518 4.9675 0.5957
3.3117 0.0000 1.1913
0.0000 0.0000 2.3826
0.0000 0.0000 0.0000
0.0000 3.3117 1.1913
```

Space group: No. 122
Energy relative to the elements, uncorrected: 37 kJ/mol of atoms


Record 11
Here is a geometry-optimized YScRhF2 structure from Alexandria via LeMat-Bulk. Energies are from PBE-GGA.

POSCAR file:
```
YScRhF2
1.0
4.5081 0.0000 0.0000
0.0000 4.5081 0.0000
0.0000 0.0000 4.8484
Y Sc Rh F
1 1 1 2
Cartesian
0.0000 0.0000 0.0000
2.2540 2.2540 0.0000
2.2540 2.2540 2.4242
0.0000 2.2540 2.4242
2.2540 0.0000 2.4242
```

Space group: No. 123
Energy relative to the elements, uncorrected: -65 kJ/mol of atoms


Record 12
Here is a geometry-optimized YCdRu2 structure from Alexandria via LeMat-Bulk. Energies are from PBE-GGA.

POSCAR file:
```
YCdRu2
1.0
4.6655 -2.0153 0.0000
4.6655 2.0153 0.0000
-1.9006 0.0000 4.2474
Y Cd Ru
1 1 2
Cartesian
0.0000 0.0000 0.0000
3.7152 0.0000 2.1237
0.9989 0.0000 2.7776
6.4315 0.0000 1.4698
```

Space group: No. 12
Energy relative to the elements: 0.15 eV per atom